DFT (PBE with a Hubbard U) results for crystalline Rb2LaNiO at its relaxed geometry.

The raw total energy comes out at -1.819 eV per atom. The value obtained for the calculated density is 2.91 g cm⁻³. As for the space group: P4/mmm.

Unit cell a=6.9512 b=6.9512 c=4.5426 alpha=90.00 beta=90.00 gamma=90.00
Last column: magnetic moment on the atom in μB.
Element x y z (fractional)
O  0.5000  0.5000  0.5000  0.08
Rb  0.5000  0.0000  0.0000  0.00
Rb  0.0000  0.5000  0.0000  0.00
Ni  0.0000  0.0000  0.5000  0.00
La  0.0000  0.0000  0.0000  0.05